1.
10
Lattice="3.5432 0.0000 0.0000 0.0000 3.5432 0.0000 0.0000 0.0000 18.1162" Properties=species:S:1:pos:R:3 comment="CaTm4Au5 (GGA-PBE, relaxed)" formation_energy_kj_per_mol_fu=-847 pbc="T T T"
Ca 0.0000 0.0000 0.0000
Tm 0.0000 0.0000 3.6623
Tm 0.0000 0.0000 7.2659
Tm 0.0000 0.0000 10.8503
Tm 0.0000 0.0000 14.4538
Au 1.7716 1.7716 2.0276
Au 1.7716 1.7716 5.4821
Au 1.7716 1.7716 9.0581
Au 1.7716 1.7716 12.6341
Au 1.7716 1.7716 16.0886

=====

2.
6
Lattice="3.5616 0.0000 0.0000 0.0000 3.5616 0.0000 0.0000 0.0000 10.8896" Properties=species:S:1:pos:R:3 comment="CaTm2Au3 (GGA-PBE, relaxed)" formation_energy_kj_per_mol_fu=-501 pbc="T T T"
Ca 0.0000 0.0000 0.0000
Tm 0.0000 0.0000 3.6455
Tm 0.0000 0.0000 7.2442
Au 1.7808 1.7808 2.0210
Au 1.7808 1.7808 5.4448
Au 1.7808 1.7808 8.8687

=====

3.
4
Lattice="3.5804 0.0000 0.0000 0.0000 3.5804 0.0000 0.0000 0.0000 9.2209" Properties=species:S:1:pos:R:3 comment="CaTm2Au (GGA-PBE, relaxed)" formation_energy_kj_per_mol_fu=-140 pbc="T T T"
Ca 0.0000 0.0000 0.0000
Tm 1.7902 1.7902 2.9145
Tm 1.7902 1.7902 6.3064
Au 0.0000 0.0000 4.6104

=====

4.
10
Lattice="0.0000 5.1621 5.1621 5.1621 0.0000 5.1621 5.1621 5.1621 0.0000" Properties=species:S:1:pos:R:3 comment="Ca2TmZnAu6 (GGA-PBE, relaxed)" formation_energy_kj_per_mol_fu=-203 pbc="T T T"
Ca 2.5810 2.5810 2.5810
Ca 7.7431 7.7431 7.7431
Tm 0.0000 0.0000 0.0000
Zn 5.1621 5.1621 5.1621
Au 5.1621 5.1621 2.6997
Au 5.1621 2.6997 5.1621
Au 7.6244 5.1621 5.1621
Au 2.6997 5.1621 5.1621
Au 5.1621 7.6244 5.1621
Au 5.1621 5.1621 7.6244

=====

5.
5
Lattice="4.9422 0.0000 0.0000 0.0000 4.9422 0.0000 0.0000 0.0000 4.9422" Properties=species:S:1:pos:R:3 comment="CaVAu3 (GGA-PBE, relaxed)" formation_energy_kj_per_mol_fu=42 pbc="T T T"
Ca 0.0000 0.0000 0.0000
V 2.4711 2.4711 2.4711
Au 0.0000 2.4711 2.4711
Au 2.4711 0.0000 2.4711
Au 2.4711 2.4711 0.0000

=====

6.
6
Lattice="4.7862 0.0000 0.0000 -2.3931 4.1450 0.0000 0.0000 0.0000 12.0311" Properties=species:S:1:pos:R:3 comment="CaVAu (GGA-PBE, relaxed)" formation_energy_kj_per_mol_fu=386 pbc="T T T"
Ca 0.0000 0.0000 3.0078
Ca 0.0000 0.0000 9.0233
V 0.0000 0.0000 0.0000
V 0.0000 0.0000 6.0156
Au 0.0000 2.7633 3.0078
Au 2.3931 1.3817 9.0233

=====

7.
6
Lattice="4.5435 -3.6069 0.0000 4.5435 3.6069 0.0000 -1.8097 0.0000 4.0254" Properties=species:S:1:pos:R:3 comment="CaVAu (GGA-PBE, relaxed)" formation_energy_kj_per_mol_fu=-16 pbc="T T T"
Ca 0.9219 0.0000 1.7529
Ca 6.3554 0.0000 2.2724
V 3.7624 -1.1391 0.5445
V 3.5148 -1.1391 3.4809
Au 3.1958 1.5134 0.4970
Au 4.0815 1.5134 3.5284

=====

8.
3
Lattice="0.0000 3.3277 3.3277 3.3277 0.0000 3.3277 3.3277 3.3277 0.0000" Properties=species:S:1:pos:R:3 comment="CaVAu (GGA-PBE, relaxed)" formation_energy_kj_per_mol_fu=137 pbc="T T T"
Ca 0.0000 0.0000 0.0000
V 4.9916 4.9916 4.9916
Au 3.3277 3.3277 3.3277

=====

Copy entry 8 word for word.
3
Lattice="0.0000 3.3277 3.3277 3.3277 0.0000 3.3277 3.3277 3.3277 0.0000" Properties=species:S:1:pos:R:3 comment="CaVAu (GGA-PBE, relaxed)" formation_energy_kj_per_mol_fu=137 pbc="T T T"
Ca 0.0000 0.0000 0.0000
V 4.9916 4.9916 4.9916
Au 3.3277 3.3277 3.3277

=====

Q: Number 4 is which compound?
A: Ca2TmZnAu6